Record 1
The following is a PBE calculation of an optimized crystal structure of Sm2GaGe2, from the Alexandria database.

a b c (Å): 4.143 6.290 8.822
angles (deg): 90.00 90.00 90.00
Space group Immm (No. 71)
Asymmetric unit:
Sm 0.000 0.000 0.218 x4
Ga 0.000 0.500 0.000 x2
Ge 0.000 0.292 0.500 x4

Values from the calculation:
- total DFT energy (no corrections) (eV per atom) = -5.065
- DFT formation energy (kJ/mol of formula units) = -350

***

Record 2
The following is a PBE calculation of an optimized crystal structure of NpTaTe2, from the Alexandria database.

a b c (Å): 3.2920 3.2920 31.4747
angles (deg): 90.00 90.00 120.00
Space group R-3m (No. 166, hexagonal axes)
Asymmetric unit:
Np 0.0000 0.0000 0.0000 x3
Ta 0.0000 0.0000 0.5000 x3
Te 0.0000 0.0000 0.4120 x6

Values from the calculation:
- total DFT energy (no corrections) (eV per atom) = -7.373
- formation energy without anion corrections (eV/f.u.) = 1.6

***

Record 3
The following is a PBE calculation of an optimized crystal structure of Th2Ga3GePd4, from the Alexandria database.

a b c (Å): 4.343 4.343 10.252
angles (deg): 90.00 90.00 90.00
Space group P-4m2 (No. 115)
Asymmetric unit:
Th 0.000 0.500 0.250 x2
Ga 0.000 0.000 0.000 x1
Ga 0.000 0.500 0.631 x2
Ge 0.500 0.500 0.000 x1
Pd 0.000 0.000 0.500 x1
Pd 0.000 0.500 0.871 x2
Pd 0.500 0.500 0.500 x1

Values from the calculation:
- total DFT energy (no corrections) (eV per atom) = -5.704
- DFT formation energy (kJ/mol of formula units) = -746

***

Record 4
The following is a PBE calculation of an optimized crystal structure of KNiI3, from the Alexandria database.

a b c (Å): 6.462 6.462 6.462
angles (deg): 90.00 90.00 90.00
Space group Pm-3m (No. 221)
Asymmetric unit:
K 0.000 0.000 0.000 x1
Ni 0.500 0.500 0.500 x1
I 0.000 0.000 0.500 x3

Values from the calculation:
- total DFT energy (no corrections) (eV per atom) = -1.729
- excess energy over the best structure of this formula in the dataset (meV per atom) = 1113.3
- formation energy without anion corrections (eV/f.u.) = 2.9

***

Record 5
The following is a PBE calculation of an optimized crystal structure of VZn7, from the Alexandria database.

a b c (Å): 7.762 7.762 7.762
angles (deg): 90.00 90.00 90.00
Space group Fm-3m (No. 225)
Asymmetric unit:
V 0.000 0.000 0.000 x4
Zn 0.000 0.000 0.500 x4
Zn 0.000 0.250 0.250 x24

Values from the calculation:
- total DFT energy (no corrections) (eV per atom) = -2.245
- DFT formation energy (kJ/mol of formula units) = 8

***

Record 6
The following is a PBE calculation of an optimized crystal structure of LaDy2Er, from the Alexandria database.

a b c (Å): 3.6078 3.6078 34.6942
angles (deg): 90.00 90.00 120.00
Space group R3m (No. 160, hexagonal axes)
Asymmetric unit:
La 0.0000 0.0000 0.0000 x3
Dy 0.0000 0.0000 0.4195 x3
Dy 0.0000 0.0000 0.5813 x3
Er 0.0000 0.0000 0.8342 x3

Values from the calculation:
- total DFT energy (no corrections) (eV per atom) = -4.666
- DFT formation energy (kJ/mol of formula units) = 3
- excess energy over the best structure of this formula in the dataset (meV per atom) = 0.0

***

Record 7
The following is a PBE calculation of an optimized crystal structure of SrRe3S, from the Alexandria database.

a b c (Å): 4.865 4.865 4.865
angles (deg): 90.00 90.00 90.00
Space group Pm-3m (No. 221)
Asymmetric unit:
Sr 0.000 0.000 0.000 x1
Re 0.000 0.000 0.500 x3
S 0.500 0.500 0.500 x1

Values from the calculation:
- total DFT energy (no corrections) (eV per atom) = -4.517
- excess energy over the best structure of this formula in the dataset (meV per atom) = 3161.7
- formation energy without anion corrections (eV/f.u.) = 20.6

***

Record 8
The following is a PBE calculation of an optimized crystal structure of Sb3PtBr, from the Alexandria database.

a b c (Å): 5.340 5.340 5.340
angles (deg): 90.00 90.00 90.00
Space group Pm-3m (No. 221)
Asymmetric unit:
Sb 0.000 0.000 0.500 x3
Pt 0.000 0.000 0.000 x1
Br 0.500 0.500 0.500 x1

Values from the calculation:
- total DFT energy (no corrections) (eV per atom) = -3.659
- excess energy over the best structure of this formula in the dataset (meV per atom) = 0.0
- formation energy without anion corrections (eV/f.u.) = 1.8

***

Record 9
The following is a PBE calculation of an optimized crystal structure of Pm15Nd4Sc, from the Alexandria database.

a b c (Å): 5.152 5.152 25.690
angles (deg): 90.00 90.00 90.00
Space group P4/mmm (No. 123)
Asymmetric unit:
Pm 0.000 0.000 0.000 x1
Pm 0.000 0.000 0.196 x2
Pm 0.000 0.000 0.399 x2
Pm 0.000 0.500 0.095 x4
Pm 0.000 0.500 0.298 x4
Pm 0.000 0.500 0.500 x2
Nd 0.500 0.500 0.197 x2
Nd 0.500 0.500 0.399 x2
Sc 0.500 0.500 0.000 x1

Values from the calculation:
- total DFT energy (no corrections) (eV per atom) = -4.812
- DFT formation energy (kJ/mol of formula units) = 40

***

Record 10
The following is a PBE calculation of an optimized crystal structure of DyYIr2, from the Alexandria database.

a b c (Å): 6.863 6.863 6.863
angles (deg): 90.00 90.00 90.00
Space group Fm-3m (No. 225)
Asymmetric unit:
Dy 0.000 0.000 0.000 x4
Y 0.000 0.000 0.500 x4
Ir 0.250 0.250 0.250 x8

Values from the calculation:
- total DFT energy (no corrections) (eV per atom) = -7.993
- DFT formation energy (kJ/mol of formula units) = -307
- excess energy over the best structure of this formula in the dataset (meV per atom) = 6.0

***

Record 11
The following is a PBE calculation of an optimized crystal structure of Pm2Sm6Y3Pu, from the Alexandria database.

a b c (Å): 6.247 10.832 11.888
angles (deg): 90.00 100.15 90.00
Space group C2/m (No. 12)
Asymmetric unit:
Pm 0.000 0.167 0.000 x4
Sm 0.247 0.500 0.750 x4
Sm 0.248 0.335 0.250 x8
Y 0.000 0.000 0.500 x2
Y 0.000 0.333 0.500 x4
Pu 0.000 0.500 0.000 x2

Values from the calculation:
- total DFT energy (no corrections) (eV per atom) = -5.912
- DFT formation energy (kJ/mol of formula units) = 58

***

Record 12
The following is a PBE calculation of an optimized crystal structure of KInSn3, from the Alexandria database.

a b c (Å): 5.084 9.777 7.730
angles (deg): 90.00 108.37 90.00
Space group P2_1/m (No. 11)
Asymmetric unit:
K 0.001 0.250 0.005 x2
In 0.302 0.750 0.594 x2
Sn 0.296 0.250 0.609 x2
Sn 0.430 0.502 0.812 x4

Values from the calculation:
- total DFT energy (no corrections) (eV per atom) = -3.210
- DFT formation energy (kJ/mol of formula units) = -20
- excess energy over the best structure of this formula in the dataset (meV per atom) = 73.4

***

Q: Which of these has the lowest total DFT energy (no corrections)?
A: DyYIr2

***

Q: total DFT energy (no corrections) of number 1 (Sm2GaGe2)?
A: -5.065 eV per atom

***

Q: What is the total DFT energy (no corrections) in the sixth record?
A: -4.666 eV per atom